This record from Alexandria describes a geometry-optimized Nb5Si3Tc12 structure. The functional is PBE.

Unit cell a=12.629 b=12.629 c=12.629 alpha=109.47 beta=109.47 gamma=109.47
Element x y z (fractional)
Tc (0.148, 0.738, 0.580)
Tc (0.852, 0.262, 0.420)
Nb (0.625, 0.750, 0.875)
Tc (0.080, 0.648, 0.738)
Tc (0.738, 0.590, 0.158)
Si (0.875, 0.750, 0.125)
Tc (0.842, 0.910, 0.262)
Tc (0.148, 0.410, 0.068)
Tc (0.920, 0.568, 0.158)
Nb (0.000, 0.500, 0.000)
Tc (0.910, 0.068, 0.648)
Tc (0.158, 0.068, 0.920)
Tc (0.658, 0.420, 0.568)
Nb (0.125, 0.750, 0.375)
Nb (0.250, 0.375, 0.625)
Tc (0.432, 0.080, 0.342)
Tc (0.342, 0.762, 0.410)
Tc (0.932, 0.090, 0.852)
Si (0.125, 0.875, 0.750)
Tc (0.648, 0.568, 0.910)
Tc (0.738, 0.148, 0.080)
Tc (0.580, 0.238, 0.148)
Si (0.250, 0.625, 0.875)
Tc (0.568, 0.648, 0.410)
Tc (0.238, 0.580, 0.648)
Nb (0.250, 0.875, 0.125)
Si (0.125, 0.250, 0.875)
Si (0.875, 0.125, 0.250)
Si (0.750, 0.875, 0.625)
Nb (0.500, 0.500, 0.000)
Tc (0.648, 0.080, 0.238)
Tc (0.238, 0.658, 0.090)
Nb (0.875, 0.250, 0.625)
Tc (0.590, 0.852, 0.432)
Nb (0.500, 0.500, 0.500)
Tc (0.090, 0.932, 0.352)
Nb (0.875, 0.625, 0.750)
Tc (0.658, 0.238, 0.590)
Tc (0.262, 0.852, 0.920)
Si (0.625, 0.250, 0.375)
Nb (0.750, 0.125, 0.875)
Tc (0.420, 0.658, 0.068)
Tc (0.410, 0.148, 0.568)
Nb (0.750, 0.625, 0.375)
Tc (0.342, 0.580, 0.432)
Nb (0.500, 0.000, 0.000)
Tc (0.158, 0.090, 0.738)
Tc (0.920, 0.352, 0.262)
Nb (0.375, 0.250, 0.125)
Tc (0.080, 0.432, 0.842)
Tc (0.852, 0.590, 0.932)
Nb (0.500, 0.000, 0.500)
Tc (0.262, 0.410, 0.842)
Tc (0.352, 0.920, 0.762)
Nb (0.000, 0.500, 0.500)
Tc (0.352, 0.432, 0.090)
Tc (0.432, 0.352, 0.590)
Tc (0.068, 0.158, 0.420)
Si (0.625, 0.375, 0.750)
Tc (0.590, 0.738, 0.658)
Tc (0.580, 0.342, 0.932)
Tc (0.568, 0.920, 0.658)
Nb (0.375, 0.125, 0.750)
Nb (0.000, 0.000, 0.000)
Nb (0.125, 0.375, 0.250)
Tc (0.842, 0.932, 0.080)
Si (0.750, 0.375, 0.125)
Si (0.375, 0.750, 0.625)
Nb (0.625, 0.875, 0.250)
Tc (0.090, 0.158, 0.238)
Tc (0.910, 0.842, 0.762)
Tc (0.068, 0.910, 0.148)
Tc (0.762, 0.420, 0.352)
Tc (0.420, 0.762, 0.852)
Si (0.250, 0.125, 0.375)
Tc (0.932, 0.842, 0.580)
Nb (0.000, 0.000, 0.500)
Si (0.375, 0.625, 0.250)
Tc (0.762, 0.342, 0.910)
Tc (0.410, 0.262, 0.342)

Calculated values
- total moment (μB per cell) = 0.00
- crystal system = cubic
- total energy (eV per atom) = -8.700
- formation energy without anion corrections (eV/atom) = 0.8508

---

This record from Alexandria describes a geometry-optimized Nb4Si5Tc2 structure. The functional is PBE.

Unit cell a=5.096 b=7.910 c=9.470 alpha=114.69 beta=105.61 gamma=90.00
Element x y z (fractional)
Si (0.284, 0.577, 0.568)
Nb (0.359, 0.973, 0.718)
Si (0.068, 0.486, 0.136)
Nb (0.063, 0.808, 0.126)
Si (0.932, 0.514, 0.864)
Nb (0.437, 0.682, 0.874)
Si (0.216, 0.009, 0.432)
Nb (0.641, 0.027, 0.282)
Si (0.750, 0.000, 0.000)
Nb (0.563, 0.318, 0.126)
Si (0.250, 0.000, 0.000)
Tc (0.444, 0.694, 0.389)
Si (0.432, 0.351, 0.864)
Tc (0.556, 0.306, 0.611)
Nb (0.141, 0.255, 0.282)
Tc (0.944, 0.694, 0.389)
Si (0.568, 0.649, 0.136)
Si (0.784, 0.991, 0.568)
Si (0.716, 0.423, 0.432)
Nb (0.859, 0.745, 0.718)
Nb (0.937, 0.192, 0.874)
Tc (0.056, 0.306, 0.611)

Calculated values
- total moment (μB per cell) = 0.00
- crystal system = orthorhombic
- total energy (eV per atom) = -8.557
- formation energy without anion corrections (eV/atom) = -0.5458

---

This record from Alexandria describes a geometry-optimized NbSi3Tc structure. The functional is PBE.

Unit cell a=4.782 b=4.782 c=4.782 alpha=90.00 beta=90.00 gamma=90.00
Last column: magnetic moment on the atom in μB.
Element x y z (fractional)
Si (0.000, 0.500, 0.000)  0.02
Tc (0.500, 0.500, 0.500)  3.30
Nb (0.000, 0.000, 0.000)  0.29
Si (0.500, 0.000, 0.000)  0.00
Si (0.000, 0.000, 0.500)  0.02

Calculated values
- total moment (μB per cell) = 4.05
- excess energy over the best structure of this formula in the dataset (meV per atom) = 407.5
- crystal system = cubic
- total energy (eV per atom) = -6.061
- formation energy without anion corrections (eV/atom) = 1.2796

---

This record from Alexandria describes a geometry-optimized NbSi2Tc structure. The functional is PBE.

Unit cell a=4.043 b=4.043 c=4.849 alpha=65.36 beta=65.36 gamma=60.00
Element x y z (fractional)
Si (0.774, 0.774, 0.677)
Tc (0.500, 0.500, 0.500)
Si (0.226, 0.226, 0.323)
Nb (0.000, 0.000, 0.000)

Calculated values
- total moment (μB per cell) = 0.00
- excess energy over the best structure of this formula in the dataset (meV per atom) = 0.0
- crystal system = trigonal
- total energy (eV per atom) = -8.104
- formation energy without anion corrections (eV/atom) = -0.2835